Density functional theory data (PBE-GGA) for a geometry-optimized Rb3Pu4Br12 structure.

a b c (Å): 10.050 10.050 10.050
angles (deg): 109.47 109.47 109.47
Atoms (fractional coordinates):
Rb1 0.000 0.500 0.500
Rb2 0.500 0.000 0.500
Rb3 0.500 0.500 0.000
Pu1 0.000 0.000 0.500
Pu2 0.000 0.500 0.000
Pu3 0.500 0.000 0.000
Pu4 0.500 0.500 0.500
Br1 0.073 0.293 0.780
Br2 0.220 0.513 0.293
Br3 0.220 0.927 0.707
Br4 0.293 0.220 0.513
Br5 0.293 0.780 0.073
Br6 0.487 0.707 0.780
Br7 0.513 0.293 0.220
Br8 0.707 0.220 0.927
Br9 0.707 0.780 0.487
Br10 0.780 0.073 0.293
Br11 0.780 0.487 0.707
Br12 0.927 0.707 0.220

Summary:
E_form (uncorrected), eV/f.u.: -29.78
Crystal system: cubic
VASP energy, eV per atom: -5.79